This record from Alexandria describes PuCuF5 after structural relaxation. The functional is PBE.

## Properties
VASP energy = -6.74 eV per atom
Raw formation energy = -2769 meV per atom

Cell: 9.033 7.211 7.602 Å, 90.00 113.53 90.00°
Space group C2/c (No. 15)
Inequivalent atoms, fractional coordinates:
Pu: 0.000 0.054 0.250 [4 per cell]
Cu: 0.000 0.500 0.000 [4 per cell]
F: 0.000 0.382 0.250 [4 per cell]
F: 0.011 0.174 0.963 [8 per cell]
F: 0.238 0.464 0.627 [8 per cell]